(1)
{"formula": "KBaHoI6", "functional": "GGA-PBE", "state": "optimized geometry", "lattice_angstrom": [[8.474, 0.000, 0.000], [-4.237, 7.339, 0.000], [0.000, 0.000, 14.934]], "species": ["K", "K", "Ba", "Ba", "Ho", "Ho", "I", "I", "I", "I", "I", "I", "I", "I", "I", "I", "I", "I"], "frac_coords": [[0.000, 0.000, 0.000], [0.000, 0.000, 0.500], [0.333, 0.667, 0.250], [0.667, 0.333, 0.750], [0.333, 0.667, 0.750], [0.667, 0.333, 0.250], [0.039, 0.379, 0.631], [0.039, 0.660, 0.869], [0.340, 0.379, 0.869], [0.340, 0.961, 0.631], [0.379, 0.039, 0.131], [0.379, 0.340, 0.369], [0.621, 0.660, 0.631], [0.621, 0.961, 0.869], [0.660, 0.039, 0.369], [0.660, 0.621, 0.131], [0.961, 0.340, 0.131], [0.961, 0.621, 0.369]], "e_form_raw_mev_per_atom": -1535, "crystal_system": "trigonal", "spacegroup": "P-31c (163)", "total_energy_ev_per_atom": -3.413}

(2)
{"formula": "BaLi2HoI8", "functional": "GGA-PBE", "state": "optimized geometry", "lattice_angstrom": [[7.609, 0.000, 0.000], [-3.804, 6.589, 0.000], [0.000, 0.000, 9.796]], "species": ["Ba", "Li", "Li", "Ho", "I", "I", "I", "I", "I", "I", "I", "I"], "frac_coords": [[0.000, 0.000, 0.000], [0.333, 0.667, 0.719], [0.667, 0.333, 0.281], [0.000, 0.000, 0.500], [0.022, 0.701, 0.310], [0.299, 0.321, 0.310], [0.321, 0.022, 0.690], [0.333, 0.667, 0.997], [0.667, 0.333, 0.003], [0.679, 0.978, 0.310], [0.701, 0.679, 0.690], [0.978, 0.299, 0.690]], "e_form_raw_mev_per_atom": -1163, "crystal_system": "trigonal", "spacegroup": "P-3 (147)", "total_energy_ev_per_atom": -3.057}

(3)
{"formula": "BaNaHoI6", "functional": "GGA-PBE", "state": "optimized geometry", "lattice_angstrom": [[8.088, 0.000, 0.000], [-4.044, 7.004, 0.000], [0.000, 0.000, 14.807]], "species": ["Ba", "Ba", "Na", "Na", "Ho", "Ho", "I", "I", "I", "I", "I", "I", "I", "I", "I", "I", "I", "I"], "frac_coords": [[0.000, 0.000, 0.000], [0.000, 0.000, 0.500], [0.333, 0.667, 0.250], [0.667, 0.333, 0.750], [0.333, 0.667, 0.750], [0.667, 0.333, 0.250], [0.019, 0.368, 0.632], [0.019, 0.650, 0.868], [0.350, 0.368, 0.868], [0.350, 0.981, 0.632], [0.368, 0.019, 0.132], [0.368, 0.350, 0.368], [0.632, 0.650, 0.632], [0.632, 0.981, 0.868], [0.650, 0.019, 0.368], [0.650, 0.632, 0.132], [0.981, 0.350, 0.132], [0.981, 0.632, 0.368]], "e_form_raw_mev_per_atom": -1466, "crystal_system": "trigonal", "spacegroup": "P-31c (163)", "total_energy_ev_per_atom": -3.369}

(4)
{"formula": "Ba2HoIO6", "functional": "GGA-PBE", "state": "optimized geometry", "lattice_angstrom": [[6.135, 0.000, 0.000], [0.000, 8.676, 0.000], [0.000, 0.000, 6.135]], "species": ["Ba", "Ba", "Ba", "Ba", "Ho", "Ho", "I", "I", "O", "O", "O", "O", "O", "O", "O", "O", "O", "O", "O", "O"], "frac_coords": [[0.250, 0.000, 0.249], [0.250, 0.500, 0.249], [0.750, 0.000, 0.751], [0.750, 0.500, 0.751], [0.250, 0.250, 0.750], [0.750, 0.750, 0.250], [0.250, 0.750, 0.750], [0.750, 0.250, 0.250], [0.006, 0.750, 0.994], [0.007, 0.750, 0.507], [0.250, 0.506, 0.749], [0.250, 0.994, 0.749], [0.493, 0.750, 0.507], [0.494, 0.750, 0.994], [0.506, 0.250, 0.006], [0.507, 0.250, 0.493], [0.750, 0.006, 0.251], [0.750, 0.494, 0.251], [0.993, 0.250, 0.493], [0.994, 0.250, 0.006]], "e_form_raw_mev_per_atom": -2186, "crystal_system": "orthorhombic", "spacegroup": "Pmmn (59)", "total_energy_ev_per_atom": -6.158}